First-principles (GGA-PBE) data for an optimized crystal structure of Th3OsRh, as listed in Alexandria.

```
Th3OsRh
1.0
7.8598 -2.2367 0.0000
7.8598 2.2367 0.0000
-4.0157 0.0000 8.0410
Th Os Rh
6 2 2
Cartesian
-0.7309 0.0000 2.8003
2.8987 0.0000 2.7014
5.5600 0.0000 0.2523
6.1440 0.0000 7.7887
8.8053 0.0000 5.3396
12.4348 0.0000 5.2407
-0.6712 0.0000 6.1931
12.3752 0.0000 1.8479
2.9237 0.0000 5.6172
8.7803 0.0000 2.4238
```

## Properties
SG	C2/m, No. 12
calculated volume	28.27	Å³ per atom
electronic total energy	-8.59	eV per atom
total magnetization	0.000	μB/atom
energy relative to the elements	-0.423	eV/atom